Entry 1:
# CaMg2Zn2Au2, optimized geometry, DFT GGA-PBE
data_CaMg2Zn2Au2
_chemical_formula_sum 'Ca3 Mg6 Zn6 Au6'
_cell_length_a 4.5211
_cell_length_b 4.5211
_cell_length_c 24.8490
_cell_angle_alpha 90.00
_cell_angle_beta 90.00
_cell_angle_gamma 120.00
_space_group_name_H-M_alt 'R -3 m'
_space_group_IT_number 166
_space_group_name_Hall '-R 3 2"'
loop_
_atom_site_label
_atom_site_fract_x
_atom_site_fract_y
_atom_site_fract_z
Ca1 0.0000 0.0000 0.0000
Mg1 0.0000 0.0000 0.1331
Zn1 0.0000 0.0000 0.4123
Au1 0.0000 0.0000 0.2470
# * volume: 20.95 Å³/atom
# * crystal system: trigonal
# * density: 6.9 g/cm³
# * DFT total energy: -52.84 eV/cell


Entry 2:
# Sc3Mn, optimized geometry, DFT GGA-PBE
data_Sc3Mn
_chemical_formula_sum 'Sc3 Mn1'
_cell_length_a 3.209
_cell_length_b 3.209
_cell_length_c 8.121
_cell_angle_alpha 90.00
_cell_angle_beta 90.00
_cell_angle_gamma 90.00
_space_group_name_H-M_alt 'P 4/m m m'
_space_group_IT_number 123
_space_group_name_Hall '-P 4 2'
loop_
_atom_site_label
_atom_site_fract_x
_atom_site_fract_y
_atom_site_fract_z
Sc1 0.000 0.000 0.000
Sc2 0.500 0.500 0.300
Mn1 0.000 0.000 0.500
# * volume: 20.91 Å³/atom
# * crystal system: tetragonal
# * density: 3.8 g/cm³
# * DFT total energy: -27.88 eV/cell


Entry 3:
# ThPIrRh, optimized geometry, DFT GGA-PBE
data_ThPIrRh
_chemical_formula_sum 'Th2 P2 Ir2 Rh2'
_cell_length_a 4.149
_cell_length_b 4.057
_cell_length_c 9.326
_cell_angle_alpha 90.00
_cell_angle_beta 90.00
_cell_angle_gamma 90.00
_space_group_name_H-M_alt 'A m m 2'
_space_group_IT_number 38
loop_
_space_group_symop_operation_xyz
'x,y,z'
'-x,-y,z'
'-x,y,z'
'x,-y,z'
'x,y+1/2,z+1/2'
'-x,-y+1/2,z+1/2'
'-x,y+1/2,z+1/2'
'x,-y+1/2,z+1/2'
loop_
_atom_site_label
_atom_site_fract_x
_atom_site_fract_y
_atom_site_fract_z
Th1 0.000 0.000 0.000
P1 0.500 0.000 0.395
Ir1 0.000 0.000 0.284
Rh1 0.500 0.000 0.649
# * volume: 19.62 Å³/atom
# * crystal system: orthorhombic
# * density: 11.8 g/cm³
# * DFT total energy: -63.57 eV/cell


Entry 4:
# IrRhAu2, optimized geometry, DFT GGA-PBE
data_IrRhAu2
_chemical_formula_sum 'Ir2 Rh2 Au4'
_cell_length_a 9.290
_cell_length_b 2.843
_cell_length_c 4.984
_cell_angle_alpha 90.00
_cell_angle_beta 100.42
_cell_angle_gamma 90.00
_space_group_name_H-M_alt 'C 1 m 1'
_space_group_IT_number 8
loop_
_space_group_symop_operation_xyz
'x,y,z'
'x,-y,z'
'x+1/2,y+1/2,z'
'x+1/2,-y+1/2,z'
loop_
_atom_site_label
_atom_site_fract_x
_atom_site_fract_y
_atom_site_fract_z
Ir1 0.000 0.000 0.000
Rh1 0.237 0.500 0.195
Au1 0.248 0.000 0.718
Au2 0.491 0.000 0.480
# * E above lowest polymorph: 137 meV/atom
# * volume: 16.18 Å³/atom
# * crystal system: monoclinic
# * density: 17.7 g/cm³
# * DFT total energy: -43.30 eV/cell